Below is crystalline YFe2Tc at its relaxed geometry, with properties calculated at the PBE level.

As for the density of states at the Fermi level: 12.91 states/eV/cell. The formation energy from the elements is 0.461 eV per atom. Its relative energy among the computed polymorphs is 343.4 meV per atom.

The structure belongs to space group I-4m2 (No. 119); the cell edges are 3.839, 3.839 and 8.885 Å and the angles 90.00°, 90.00° and 90.00°. The distinct sites, in fractional coordinates, are Y at (0.000, 0.000, 0.000), Fe at (0.000, 0.000, 0.500), Fe at (0.000, 0.500, 0.750) and Tc at (0.000, 0.500, 0.250).